Below is a geometry-optimized NpV3O8 structure, with properties calculated at the PBE+U level.

a b c (Å): 6.6091 6.6091 6.6065
angles (deg): 105.25 105.25 36.35
With the nearest neighbours (Å) after each atom.
Fractional coordinates of all 12 atoms:
Np1 0.0000 0.0000 0.0000  6 O 2.01-2.24
V1 0.1128 0.1128 0.6041  2 O 1.81-1.84
V2 0.3087 0.3087 0.0122  2 O 1.75-1.90
V3 0.4162 0.4162 0.5843  4 O 1.90-2.12
O1 0.0664 0.0664 0.3145  1 V 1.84, 1 Np 2.01
O2 0.1510 0.1510 0.9377  2 V 1.90-2.12, 1 Np 2.05
O3 0.2625 0.2625 0.6715  1 V 1.81
O4 0.3506 0.3506 0.2883  2 V 1.75-1.90
O5 0.4557 0.4557 0.9329  2 V 2.05-2.22, 2 Np 2.15
O6 0.5703 0.5703 0.6038  3 V 1.90-2.13
O7 0.8340 0.8340 0.0016  1 Np 2.09, 2 V 2.09
O8 0.9513 0.9513 0.6465  3 V 2.12, 1 Np 2.24

## Properties
uncorrected energy = -101.058 eV/cell